[1]
Ca2CoPbN | PBE-GGA | optimized geometry

Geometry as extended XYZ:
```
5
Lattice="5.304 0.000 0.000 0.000 5.304 0.000 0.000 0.000 3.582" Properties=species:S:1:pos:R:3 pbc="T T T"
N 0.000 0.000 0.000
Ca 2.652 0.000 0.000
Ca 0.000 2.652 0.000
Co 0.000 0.000 1.791
Pb 2.652 2.652 1.791
```

Values from the calculation:
**SG**: No. 123
**Formation energy from raw total energies**: -44.7 kJ/mol of atoms

[2]
CaPmCoN2 | PBE-GGA | optimized geometry

Geometry as extended XYZ:
```
10
Lattice="5.322 0.000 0.000 0.000 5.028 0.623 0.000 -0.827 6.657" Properties=species:S:1:pos:R:3 pbc="T T T"
Ca 5.321 2.307 1.976
Ca 0.001 1.894 5.304
Co 0.000 0.000 0.000
Co 0.000 -0.413 3.328
N 3.968 3.857 0.478
N 3.968 0.758 3.473
N 1.354 3.443 3.806
N 1.354 0.345 6.802
Pm 2.661 -0.207 1.664
Pm 2.662 -0.620 4.993
```

Values from the calculation:
**SG**: No. 49
**Formation energy from raw total energies**: -63.9 kJ/mol of atoms

[3]
CaPuCoN3 | PBE-GGA | optimized geometry

Geometry as extended XYZ:
```
12
Lattice="-2.127 2.395 1.204 -4.529 -4.908 1.760 3.826 0.163 6.434" Properties=species:S:1:pos:R:3 pbc="T T T"
N -4.937 -2.419 3.383
N -2.524 -3.396 4.726
N 0.173 -2.092 6.896
N -0.305 1.047 4.672
N -3.003 -0.258 2.503
N 2.108 0.070 6.015
Pu -0.016 0.204 6.860
Pu -2.814 -2.553 2.538
Ca -0.567 -0.159 1.745
Ca -2.263 -2.191 7.653
Co -4.243 -2.683 5.135
Co 1.413 0.333 4.264
```

Values from the calculation:
**SG**: No. 11
**Formation energy from raw total energies**: -70.9 kJ/mol of atoms